This record from the Alexandria database describes a geometry-optimized Ta3Rh structure. The functional is GGA-PBE. Values from VASP.

Geometry as Quantum ESPRESSO input:
```
&SYSTEM
  ibrav = 0, nat = 4, ntyp = 2
/
ATOMIC_SPECIES
Ta 180.95 Ta.upf
Rh 102.91 Rh.upf
CELL_PARAMETERS angstrom
2.9176 0.0000 0.0000
-1.4588 2.5267 0.0000
0.0000 0.0000 9.4466
ATOMIC_POSITIONS angstrom
Ta 0.0000 0.0000 0.0000
Ta 0.0000 1.6845 2.5197
Ta 0.0000 1.6845 6.9269
Rh 0.0000 0.0000 4.7233
```

Calculated values
Energy of formation from the pure elements: -5 meV per atom
DOS(E_F): 1.27 states/eV/atom
SG: P-6m2 (187)
Total energy: -42.93 eV per formula unit
Total moment: 0.00 μB per formula unit